1.
A plane-wave DFT calculation with PBE was carried out for a geometry-optimized Hg8H structure.

Computed properties:
energy above the lowest structure with this stoichiometry	0.00	kcal/mol of atoms
calculated total energy	-4.20	eV per cell
calculated density	12.1	g/cm³

Unit cell a=6.772 b=6.772 c=5.551 alpha=90.00 beta=90.00 gamma=120.00
Sites, in units of the cell vectors:
Hg 0.170 0.339 0.236
Hg 0.170 0.830 0.236
Hg 0.333 0.667 0.719
Hg 0.339 0.170 0.764
Hg 0.661 0.830 0.236
Hg 0.667 0.333 0.281
Hg 0.830 0.170 0.764
Hg 0.830 0.661 0.764
H 0.000 0.000 0.500


2.
A plane-wave DFT calculation with PBE was carried out for a geometry-optimized Ho6Hg2H structure.

Computed properties:
calculated total energy	-67.42	eV per cell
calculated density	10.0	g/cm³

Unit cell a=6.534 b=6.803 c=12.046 alpha=90.00 beta=120.31 gamma=90.00
Sites, in units of the cell vectors:
Ho 0.120 0.003 0.249
Ho 0.120 0.497 0.749
Ho 0.200 0.190 0.536
Ho 0.200 0.310 0.036
Ho 0.363 0.693 0.536
Ho 0.363 0.807 0.036
Ho 0.637 0.193 0.964
Ho 0.637 0.307 0.464
Ho 0.800 0.690 0.964
Ho 0.800 0.810 0.464
Ho 0.880 0.503 0.251
Ho 0.880 0.997 0.751
Hg 0.344 0.606 0.257
Hg 0.344 0.894 0.757
Hg 0.656 0.106 0.243
Hg 0.656 0.394 0.743
H 0.500 0.000 0.500
H 0.500 0.500 0.000


3.
A plane-wave DFT calculation with PBE was carried out for a geometry-optimized Ho3HgH structure.

Computed properties:
energy above the lowest structure with this stoichiometry	0.00	kcal/mol of atoms
calculated total energy	-37.78	eV per cell
calculated density	10.0	g/cm³

Unit cell a=6.644 b=3.546 c=9.929 alpha=90.00 beta=99.25 gamma=90.00
Sites, in units of the cell vectors:
Ho 0.082 0.250 0.362
Ho 0.230 0.250 0.912
Ho 0.398 0.750 0.633
Ho 0.602 0.250 0.367
Ho 0.770 0.750 0.088
Ho 0.918 0.750 0.638
Hg 0.297 0.750 0.171
Hg 0.703 0.250 0.829
H 0.172 0.250 0.678
H 0.828 0.750 0.322


4.
A plane-wave DFT calculation with PBE was carried out for a geometry-optimized Ho3HgH structure.

Computed properties:
energy above the lowest structure with this stoichiometry	0.86	kcal/mol of atoms
calculated total energy	-18.70	eV per cell
calculated density	10.5	g/cm³

Unit cell a=4.792 b=4.792 c=4.792 alpha=90.00 beta=90.00 gamma=90.00
Sites, in units of the cell vectors:
Ho 0.000 0.000 0.500
Ho 0.000 0.500 0.000
Ho 0.500 0.000 0.000
Hg 0.500 0.500 0.500
H 0.000 0.000 0.000


5.
A plane-wave DFT calculation with PBE was carried out for a geometry-optimized Ho6Hg3H structure.

Computed properties:
calculated total energy	-68.62	eV per cell
calculated density	10.2	g/cm³

Unit cell a=6.422 b=8.060 c=11.684 alpha=90.00 beta=121.44 gamma=90.00
Sites, in units of the cell vectors:
Ho 0.060 0.063 0.229
Ho 0.060 0.437 0.729
Ho 0.194 0.720 0.069
Ho 0.194 0.780 0.569
Ho 0.395 0.146 0.051
Ho 0.395 0.354 0.551
Ho 0.605 0.646 0.449
Ho 0.605 0.854 0.949
Ho 0.806 0.220 0.431
Ho 0.806 0.280 0.931
Ho 0.940 0.563 0.271
Ho 0.940 0.937 0.771
Hg 0.307 0.114 0.723
Hg 0.307 0.386 0.223
Hg 0.500 0.000 0.500
Hg 0.500 0.500 0.000
Hg 0.693 0.614 0.777
Hg 0.693 0.886 0.277
H 0.000 0.000 0.000
H 0.000 0.500 0.500


6.
A plane-wave DFT calculation with PBE was carried out for a geometry-optimized Hg2H2I3 structure.

Computed properties:
calculated total energy	-11.62	eV per cell
calculated density	5.6	g/cm³

Unit cell a=4.818 b=4.946 c=11.196 alpha=80.45 beta=88.33 gamma=63.13
Sites, in units of the cell vectors:
Hg 0.042 0.155 0.173
Hg 0.958 0.845 0.827
H 0.409 0.917 0.276
H 0.591 0.083 0.724
I 0.243 0.304 0.624
I 0.500 0.500 0.000
I 0.757 0.696 0.376


7.
A plane-wave DFT calculation with PBE was carried out for a geometry-optimized HgHI2 structure.

Computed properties:
energy above the lowest structure with this stoichiometry	0.00	kcal/mol of atoms
calculated total energy	-28.61	eV per cell
calculated density	4.4	g/cm³

Unit cell a=8.373 b=7.699 c=12.364 alpha=90.00 beta=120.71 gamma=90.00
Sites, in units of the cell vectors:
Hg 0.000 0.162 0.143
Hg 0.000 0.162 0.357
Hg 0.000 0.838 0.643
Hg 0.000 0.838 0.857
H 0.385 0.243 0.972
H 0.385 0.757 0.472
H 0.615 0.243 0.528
H 0.615 0.757 0.028
I 0.058 0.247 0.948
I 0.058 0.753 0.448
I 0.463 0.254 0.576
I 0.463 0.746 0.076
I 0.537 0.254 0.924
I 0.537 0.746 0.424
I 0.942 0.247 0.552
I 0.942 0.753 0.052


8.
A plane-wave DFT calculation with PBE was carried out for a geometry-optimized HgH3I structure.

Computed properties:
energy above the lowest structure with this stoichiometry	1.43	kcal/mol of atoms
calculated total energy	-7.87	eV per cell
calculated density	7.9	g/cm³

Unit cell a=4.109 b=4.109 c=4.109 alpha=90.00 beta=90.00 gamma=90.00
Sites, in units of the cell vectors:
Hg 0.000 0.000 0.000
H 0.000 0.000 0.500
H 0.000 0.500 0.000
H 0.500 0.000 0.000
I 0.500 0.500 0.500


9.
A plane-wave DFT calculation with PBE was carried out for a geometry-optimized HgH3I structure.

Computed properties:
energy above the lowest structure with this stoichiometry	0.00	kcal/mol of atoms
calculated total energy	-8.18	eV per cell
calculated density	7.1	g/cm³

Unit cell a=4.270 b=4.270 c=4.270 alpha=90.00 beta=90.00 gamma=90.00
Sites, in units of the cell vectors:
Hg 0.000 0.000 0.000
H 0.000 0.500 0.500
H 0.500 0.000 0.500
H 0.500 0.500 0.000
I 0.500 0.500 0.500


10.
A plane-wave DFT calculation with PBE was carried out for a geometry-optimized Hg2HI5 structure.

Computed properties:
calculated total energy	-12.93	eV per cell
calculated density	3.5	g/cm³

Unit cell a=8.036 b=8.036 c=8.745 alpha=106.28 beta=106.28 gamma=67.86
Sites, in units of the cell vectors:
Hg 0.000 0.000 0.000
Hg 0.642 0.642 0.548
H 0.712 0.712 0.149
I 0.288 0.706 0.986
I 0.352 0.934 0.559
I 0.706 0.288 0.986
I 0.830 0.830 0.288
I 0.934 0.352 0.559


11.
A plane-wave DFT calculation with PBE was carried out for a geometry-optimized Hg4H3I2 structure.

Computed properties:
calculated total energy	-13.58	eV per cell
calculated density	7.0	g/cm³

Unit cell a=9.904 b=9.904 c=5.857 alpha=94.07 beta=94.07 gamma=26.03
Sites, in units of the cell vectors:
Hg 0.066 0.066 0.232
Hg 0.227 0.227 0.638
Hg 0.773 0.773 0.362
Hg 0.934 0.934 0.768
H 0.000 0.000 0.000
H 0.117 0.117 0.479
H 0.883 0.883 0.521
I 0.352 0.352 0.045
I 0.648 0.648 0.955


12.
A plane-wave DFT calculation with PBE was carried out for a geometry-optimized Hg3HI structure.

Computed properties:
energy above the lowest structure with this stoichiometry	13.23	kcal/mol of atoms
calculated total energy	-2.81	eV per cell
calculated density	4.2	g/cm³

Unit cell a=6.621 b=6.621 c=6.621 alpha=90.00 beta=90.00 gamma=90.00
Sites, in units of the cell vectors:
Hg 0.000 0.000 0.500
Hg 0.000 0.500 0.000
Hg 0.500 0.000 0.000
H 0.500 0.500 0.500
I 0.000 0.000 0.000


13.
A plane-wave DFT calculation with PBE was carried out for a geometry-optimized HgH2I structure.

Computed properties:
energy above the lowest structure with this stoichiometry	0.00	kcal/mol of atoms
calculated total energy	-8.88	eV per cell
calculated density	4.4	g/cm³

Unit cell a=4.680 b=5.894 c=4.684 alpha=90.00 beta=104.57 gamma=90.00
Sites, in units of the cell vectors:
Hg 0.000 0.000 0.000
H 0.760 0.500 0.249
H 0.867 0.500 0.153
I 0.491 0.000 0.509


14.
A plane-wave DFT calculation with PBE was carried out for a geometry-optimized Hg2H2I5 structure.

Computed properties:
calculated total energy	-30.21	eV per cell
calculated density	5.1	g/cm³

Unit cell a=12.974 b=12.974 c=12.974 alpha=75.92 beta=107.38 gamma=160.82
Sites, in units of the cell vectors:
Hg 0.000 0.000 0.000
Hg 0.000 0.500 0.500
Hg 0.589 0.364 0.725
Hg 0.639 0.864 0.275
H 0.197 0.429 0.942
H 0.197 0.755 0.268
H 0.487 0.255 0.058
H 0.487 0.929 0.732
I 0.211 0.739 0.764
I 0.211 0.947 0.972
I 0.277 0.369 0.408
I 0.388 0.050 0.420
I 0.388 0.468 0.838
I 0.630 0.550 0.162
I 0.630 0.968 0.580
I 0.961 0.869 0.592
I 0.975 0.239 0.028
I 0.975 0.447 0.236


15.
A plane-wave DFT calculation with PBE was carried out for a geometry-optimized HgH4I2 structure.

Computed properties:
calculated total energy	-25.38	eV per cell
calculated density	3.9	g/cm³

Unit cell a=10.510 b=10.510 c=3.505 alpha=90.00 beta=90.00 gamma=90.00
Sites, in units of the cell vectors:
Hg 0.000 0.000 0.000
Hg 0.500 0.500 0.500
H 0.172 0.310 0.000
H 0.190 0.672 0.500
H 0.310 0.172 0.000
H 0.328 0.810 0.500
H 0.672 0.190 0.500
H 0.690 0.828 0.000
H 0.810 0.328 0.500
H 0.828 0.690 0.000
I 0.240 0.240 0.500
I 0.260 0.740 0.000
I 0.740 0.260 0.000
I 0.760 0.760 0.500


16.
A plane-wave DFT calculation with PBE was carried out for a geometry-optimized Hg2H4I structure.

Computed properties:
calculated total energy	-14.85	eV per cell
calculated density	6.8	g/cm³

Unit cell a=3.728 b=5.049 c=6.908 alpha=90.89 beta=90.29 gamma=90.75
Sites, in units of the cell vectors:
Hg 0.005 0.002 0.281
Hg 0.995 0.998 0.719
H 0.468 0.472 0.452
H 0.496 0.996 0.709
H 0.504 0.004 0.291
H 0.532 0.528 0.548
I 0.000 0.500 0.000


17.
A plane-wave DFT calculation with PBE was carried out for a geometry-optimized Hg3HI2 structure.

Computed properties:
calculated total energy	-15.56	eV per cell
calculated density	6.4	g/cm³

Unit cell a=7.258 b=7.478 c=9.216 alpha=87.60 beta=69.43 gamma=72.78
Sites, in units of the cell vectors:
Hg 0.026 0.389 0.112
Hg 0.320 0.569 0.189
Hg 0.385 0.981 0.756
Hg 0.615 0.019 0.244
Hg 0.680 0.431 0.811
Hg 0.974 0.611 0.888
H 0.395 0.797 0.861
H 0.605 0.203 0.139
I 0.076 0.087 0.286
I 0.361 0.297 0.602
I 0.639 0.703 0.398
I 0.924 0.913 0.714


18.
A plane-wave DFT calculation with PBE was carried out for a geometry-optimized HgH2I structure.

Computed properties:
energy above the lowest structure with this stoichiometry	25.29	kcal/mol of atoms
calculated total energy	-4.49	eV per cell
calculated density	8.5	g/cm³

Unit cell a=4.507 b=4.507 c=4.507 alpha=60.00 beta=60.00 gamma=60.00
Sites, in units of the cell vectors:
Hg 0.000 0.000 0.000
H 0.250 0.250 0.250
H 0.750 0.750 0.750
I 0.500 0.500 0.500


19.
A plane-wave DFT calculation with PBE was carried out for a geometry-optimized Hg5H2I structure.

Computed properties:
calculated total energy	-17.50	eV per cell
calculated density	8.4	g/cm³

Unit cell a=5.976 b=8.162 c=9.935 alpha=92.89 beta=106.25 gamma=103.66
Sites, in units of the cell vectors:
Hg 0.000 0.000 0.000
Hg 0.090 0.658 0.573
Hg 0.141 0.499 0.917
Hg 0.292 0.312 0.208
Hg 0.342 0.038 0.851
Hg 0.500 0.500 0.500
Hg 0.658 0.962 0.149
Hg 0.708 0.688 0.792
Hg 0.859 0.501 0.083
Hg 0.910 0.342 0.427
H 0.187 0.855 0.675
H 0.341 0.518 0.820
H 0.659 0.482 0.180
H 0.813 0.145 0.325
I 0.303 0.822 0.297
I 0.697 0.178 0.703


20.
A plane-wave DFT calculation with PBE was carried out for a geometry-optimized Hg3HI structure.

Computed properties:
energy above the lowest structure with this stoichiometry	6.40	kcal/mol of atoms
calculated total energy	-4.29	eV per cell
calculated density	9.8	g/cm³

Unit cell a=4.984 b=4.984 c=4.984 alpha=90.00 beta=90.00 gamma=90.00
Sites, in units of the cell vectors:
Hg 0.000 0.000 0.500
Hg 0.000 0.500 0.000
Hg 0.500 0.000 0.000
H 0.000 0.000 0.000
I 0.500 0.500 0.500


21.
A plane-wave DFT calculation with PBE was carried out for a geometry-optimized HgH4I structure.

Computed properties:
calculated total energy	-15.49	eV per cell
calculated density	4.7	g/cm³

Unit cell a=6.802 b=6.802 c=4.435 alpha=108.00 beta=108.00 gamma=37.08
Sites, in units of the cell vectors:
Hg 0.000 0.000 0.000
H 0.232 0.232 0.778
H 0.275 0.275 0.697
H 0.725 0.725 0.303
H 0.768 0.768 0.222
I 0.500 0.500 0.500


22.
A plane-wave DFT calculation with PBE was carried out for a geometry-optimized HgH2I5 structure.

Computed properties:
calculated total energy	-15.21	eV per cell
calculated density	3.8	g/cm³

Unit cell a=6.555 b=6.987 c=8.975 alpha=73.95 beta=73.83 gamma=70.70
Sites, in units of the cell vectors:
Hg 0.000 0.000 0.000
H 0.389 0.989 0.575
H 0.953 0.410 0.201
I 0.197 0.613 0.137
I 0.285 0.252 0.764
I 0.427 0.840 0.449
I 0.768 0.253 0.765
I 0.796 0.239 0.271


23.
A plane-wave DFT calculation with PBE was carried out for a geometry-optimized HgHI2 structure.

Computed properties:
energy above the lowest structure with this stoichiometry	17.02	kcal/mol of atoms
calculated total energy	-4.20	eV per cell
calculated density	6.7	g/cm³

Unit cell a=5.420 b=5.420 c=5.420 alpha=60.00 beta=60.00 gamma=60.00
Sites, in units of the cell vectors:
Hg 0.000 0.000 0.000
H 0.500 0.500 0.500
I 0.250 0.250 0.250
I 0.750 0.750 0.750